A.
Compound: LaVSeN2
Source: the Alexandria database
Functional: PBE
Structure: optimized geometry

Values from the calculation:
N(E_F)	0.9180	states/eV/atom

Structure (POSCAR):
```
LaVSeN2
1.0
4.171 0.000 0.000
0.000 4.171 0.000
0.000 0.000 6.237
N V Se La
2 1 1 1
direct
0.000 0.500 0.000
0.500 0.000 0.000
0.500 0.500 0.500
0.000 0.000 0.500
0.000 0.000 0.000
```



B.
Compound: LaVSeN2
Source: the Alexandria database
Functional: PBE
Structure: optimized geometry

Values from the calculation:
N(E_F)	0.3908	states/eV/atom

Structure (POSCAR):
```
LaVSeN2
1.0
4.020 0.000 0.000
0.000 4.020 0.000
0.000 0.000 4.868
N V Se La
2 1 1 1
direct
0.000 0.500 0.000
0.500 0.000 0.000
0.000 0.000 0.000
0.000 0.000 0.500
0.500 0.500 0.500
```



Verdict on stability: A comes out at the bottom.



A.
Compound: LaWSe2N
Source: the Alexandria database
Functional: PBE
Structure: optimized geometry

Values from the calculation:
N(E_F)	0.6129	states/eV/atom

Structure (POSCAR):
```
LaWSe2N
1.0
5.138 0.000 0.000
0.000 5.138 0.000
0.000 0.000 3.886
N Se W La
1 2 1 1
direct
0.000 0.000 0.500
0.000 0.500 0.000
0.500 0.000 0.000
0.000 0.000 0.000
0.500 0.500 0.500
```



B.
Compound: LaWSe2N
Source: the Alexandria database
Functional: PBE
Structure: optimized geometry

Values from the calculation:
N(E_F)	0.8118	states/eV/atom

Structure (POSCAR):
```
LaWSe2N
1.0
-1.283 2.452 -5.055
-3.320 -4.514 -1.347
-3.170 1.827 1.691
N Se W La
1 2 1 1
direct
0.000 0.000 0.500
0.000 0.500 0.000
0.500 0.000 0.000
0.500 0.500 0.500
0.000 0.000 0.000
```



Verdict on stability: B comes out at the bottom.